# ZrRe2Ag PBE optimized geometry
data_ZrRe2Ag
_chemical_formula_sum 'Zr1 Re2 Ag1'
_symmetry_space_group_name_H-M 'P 1'
_symmetry_Int_Tables_number 1
_cell_length_a 3.069
_cell_length_b 3.069
_cell_length_c 7.531
_cell_angle_alpha 90.00
_cell_angle_beta 90.00
_cell_angle_gamma 90.00
loop_
_symmetry_equiv_pos_as_xyz
'x,y,z'
loop_
_atom_site_label
_atom_site_type_symbol
_atom_site_fract_x
_atom_site_fract_y
_atom_site_fract_z
_atom_site_occupancy
Zr1 Zr 0.000 0.000 0.000 1
Re1 Re 0.000 0.000 0.548 1
Re2 Re 0.500 0.500 0.735 1
Ag1 Ag 0.500 0.500 0.284 1
# * symmetry: P4mm (99)
# * Fermi-level density of states: 2.799 states/eV per cell
# * energy relative to the lowest polymorph listed for this composition: 0 meV/atom
# * ΔE_f: 0.117 eV/atom